Density functional theory data (PBE) for crystalline Sm4GdY at its relaxed geometry.

Raw total energy ... -6.338 eV per atom
Calculated volume ... 34.82 A^3/atom
DFT formation energy ... 232 meV/atom

abc: 9.419 9.419 9.419
angles: 90.00 90.00 90.00
Space group F-43m (No. 216)
Unique sites:
Sm 0.124 0.124 0.376 [16 per cell]
Gd 0.000 0.000 0.000 [4 per cell]
Y 0.250 0.250 0.750 [4 per cell]